No. 1
A plane-wave DFT calculation with PBE-GGA was carried out for crystalline BaMgNiSn at its relaxed geometry.

Unit cell a=5.132 b=5.132 c=5.132 alpha=60.00 beta=60.00 gamma=60.00
Sites, in units of the cell vectors:
Mg 0.750 0.750 0.750
Ni 0.250 0.250 0.250
Sn 0.000 0.000 0.000
Ba 0.500 0.500 0.500

total DFT energy (no corrections)	-13.094	eV for the cell shown
relative energy among the computed polymorphs	0	meV per atom
mass density	5.892	Mg/m³



No. 2
A plane-wave DFT calculation with PBE-GGA was carried out for crystalline BaMgNiSn at its relaxed geometry.

Unit cell a=5.304 b=5.304 c=5.304 alpha=60.00 beta=60.00 gamma=60.00
Sites, in units of the cell vectors:
Ba 0.250 0.250 0.250
Sn 0.000 0.000 0.000
Mg 0.750 0.750 0.750
Ni 0.500 0.500 0.500

total DFT energy (no corrections)	-12.747	eV for the cell shown
relative energy among the computed polymorphs	87	meV per atom
mass density	5.337	Mg/m³



No. 3
A plane-wave DFT calculation with PBE-GGA was carried out for crystalline BaMgZrNi at its relaxed geometry.

Unit cell a=5.212 b=5.212 c=5.212 alpha=60.00 beta=60.00 gamma=60.00
Sites, in units of the cell vectors:
Ni 0.250 0.250 0.250
Mg 0.750 0.750 0.750
Zr 0.000 0.000 0.000
Ba 0.500 0.500 0.500

total DFT energy (no corrections)	-15.695	eV for the cell shown
relative energy among the computed polymorphs	0	meV per atom
mass density	5.168	Mg/m³